# 1
# Pa2TlCdO8

A relaxed structure of Pa2TlCdO8 (PBE, the Alexandria database).

- Theoretical density: 9.20 Mg/m³
- Total magnetization: 1.04 μB per cell
- E_form (uncorrected): -2.304 eV per atom
- Space-group type: No. 82

Lattice parameters (Å, degrees): 5.4910 5.4910 6.6765 114.28 114.28 90.00
Closest atoms and distances in Å follow each position.
Positions (direct):
1 O 0.1208 0.5748 0.7121  1 Tl 2.21, 2 Pa 2.32-2.36
2 Pa 0.5000 0.5000 0.0000  8 O 2.26-2.36
3 O 0.3264 0.8214 0.2135  2 Pa 2.26-2.29, 1 Cd 2.29, 1 O 2.53
4 Pa 0.2500 0.7500 0.5000  8 O 2.29-2.32
5 O 0.6079 0.6736 0.7865  2 Pa 2.26-2.29, 1 Cd 2.29, 1 O 2.53
6 O 0.8627 0.8792 0.2879  1 Tl 2.21, 2 Pa 2.32-2.36
7 O 0.1786 0.1129 0.7865  2 Pa 2.26-2.29, 1 Cd 2.29, 1 O 2.53
8 O 0.8871 0.3921 0.2135  2 Pa 2.26-2.29, 1 Cd 2.29, 1 O 2.53
9 Cd 0.0000 0.0000 0.0000  4 O 2.29
10 O 0.4252 0.4087 0.2879  1 Tl 2.21, 2 Pa 2.32-2.36
11 Tl 0.7500 0.2500 0.5000  4 O 2.21
12 O 0.5913 0.1373 0.7121  1 Tl 2.21, 2 Pa 2.32-2.36

---

# 2
# Pa2TlCd2O7

A relaxed structure of Pa2TlCd2O7 (PBE, the Alexandria database).

- Theoretical density: 8.02 Mg/m³
- Total magnetization: 0.00 μB per cell
- E_form (uncorrected): -2.373 eV per atom
- Space-group type: No. 71

Lattice parameters (Å, degrees): 4.3635 4.3682 11.3238 101.12 101.12 90.00
Closest atoms and distances in Å follow each position.
Positions (direct):
1 Pa 0.6011 0.6011 0.2023  6 O 2.18-2.32
2 O 0.1022 0.6021 0.2044  2 Pa 2.18
3 Cd 0.7492 0.2493 0.4986  4 O 2.37-2.38
4 O 0.7076 0.7075 0.4151  1 Pa 2.32, 4 Cd 2.37-2.38
5 Tl 0.0000 0.0000 0.0000  12 O 3.09-3.12
6 O 0.5000 0.5000 0.0000  2 Pa 2.20
7 Pa 0.3989 0.3989 0.7977  6 O 2.18-2.32
8 O 0.6025 0.1025 0.2051  2 Pa 2.18
9 O 0.2924 0.2924 0.5849  1 Pa 2.32, 4 Cd 2.37-2.38
10 O 0.8978 0.3978 0.7956  2 Pa 2.18
11 O 0.3975 0.8975 0.7949  2 Pa 2.18
12 Cd 0.2508 0.7507 0.5014  4 O 2.37-2.38

---

# 3
# PaTlCdO6

A relaxed structure of PaTlCdO6 (PBE, the Alexandria database).

- Theoretical density: 7.99 Mg/m³
- Total magnetization: 1.78 μB per cell
- E_form (uncorrected): -1.542 eV per atom
- Space-group type: No. 149

Lattice parameters (Å, degrees): 4.7521 5.7026 5.7026 120.00 90.00 90.00
Closest atoms and distances in Å follow each position.
Positions (direct):
1 O 0.7506 0.6531 0.6692  1 Pa 2.17, 1 Tl 2.27, 1 Cd 2.29
2 O 0.2494 0.6531 0.9838  1 Pa 2.17, 1 Tl 2.27, 1 Cd 2.29
3 Pa 0.0000 0.3333 0.6667  6 O 2.17
4 O 0.7506 0.0162 0.3469  1 Pa 2.17, 1 Tl 2.27, 1 Cd 2.29
5 Cd 0.5000 0.6667 0.3333  6 O 2.29
6 Tl 0.5000 0.0000 0.0000  6 O 2.27
7 O 0.2494 0.3308 0.3469  1 Pa 2.17, 1 Tl 2.27, 1 Cd 2.29
8 O 0.2494 0.0162 0.6692  1 Pa 2.17, 1 Tl 2.27, 1 Cd 2.29
9 O 0.7506 0.3308 0.9838  1 Pa 2.17, 1 Tl 2.27, 1 Cd 2.29

---

# 4
# PaTlCd2O6

A relaxed structure of PaTlCd2O6 (PBE, the Alexandria database).

- Theoretical density: 8.39 Mg/m³
- Total magnetization: 0.00 μB per cell
- E_form (uncorrected): -1.814 eV per atom
- Space-group type: No. 146

Lattice parameters (Å, degrees): 5.8045 5.8050 6.1260 61.72 61.72 60.00
Closest atoms and distances in Å follow each position.
Positions (direct):
1 Tl 0.3134 0.3134 0.0597  6 O 2.26-2.36
2 Pa 0.8168 0.8169 0.5495  6 O 2.18-2.21
3 O 0.7052 0.0910 0.7610  1 Pa 2.18, 1 Cd 2.26, 1 Tl 2.36
4 Cd 0.5312 0.5311 0.4065  3 O 2.26
5 O 0.6072 0.1907 0.2720  1 Pa 2.21, 1 Cd 2.26, 1 Tl 2.26
6 O 0.0909 0.4427 0.7612  1 Pa 2.18, 1 Cd 2.26, 1 Tl 2.35
7 O 0.1907 0.9302 0.2720  1 Pa 2.21, 1 Cd 2.26, 1 Tl 2.26
8 Cd 0.0332 0.0331 0.9005  3 O 2.26
9 O 0.9302 0.6072 0.2719  1 Pa 2.21, 1 Cd 2.26, 1 Tl 2.26
10 O 0.4428 0.7053 0.7610  1 Pa 2.18, 1 Cd 2.26, 1 Tl 2.36

---

# 5
# PaTl2CdO6

A relaxed structure of PaTl2CdO6 (PBE, the Alexandria database).

- Theoretical density: 8.19 Mg/m³
- Total magnetization: 0.00 μB per cell
- E_form (uncorrected): -1.673 eV per atom
- Space-group type: No. 15

Lattice parameters (Å, degrees): 6.0699 7.5941 7.5941 84.45 83.17 83.17
Closest atoms and distances in Å follow each position.
Positions (direct):
1 O 0.9207 0.3502 0.8464  1 Pa 2.13, 1 Tl 2.24, 1 Cd 2.35
2 O 0.6263 0.8007 0.9893  1 Tl 2.24, 1 Pa 2.27, 2 Cd 2.38-2.40
3 O 0.1263 0.9893 0.8007  1 Tl 2.24, 1 Pa 2.27, 2 Cd 2.38-2.40
4 O 0.8570 0.7179 0.5329  1 Pa 2.22, 2 Tl 2.26-2.27
5 O 0.3737 0.1993 0.0107  1 Tl 2.24, 1 Pa 2.27, 2 Cd 2.38-2.40
6 O 0.5793 0.1536 0.6498  1 Pa 2.13, 1 Tl 2.24, 1 Cd 2.35
7 Tl 0.8110 0.2095 0.4045  4 O 2.24-2.27
8 Cd 0.2500 0.9131 0.0869  6 O 2.35-2.40
9 Cd 0.7500 0.0869 0.9131  6 O 2.35-2.40
10 O 0.3570 0.5329 0.7179  1 Pa 2.22, 2 Tl 2.26-2.27
11 O 0.4207 0.8464 0.3502  1 Pa 2.13, 1 Tl 2.24, 1 Cd 2.35
12 Pa 0.2500 0.2617 0.7383  6 O 2.13-2.27
13 O 0.8737 0.0107 0.1993  1 Tl 2.24, 1 Pa 2.27, 2 Cd 2.38-2.40
14 Tl 0.1890 0.7905 0.5955  4 O 2.24-2.27
15 O 0.1430 0.2821 0.4671  1 Pa 2.22, 2 Tl 2.26-2.27
16 O 0.0793 0.6498 0.1536  1 Pa 2.13, 1 Tl 2.24, 1 Cd 2.35
17 Tl 0.3110 0.4045 0.2095  4 O 2.24-2.27
18 Pa 0.7500 0.7383 0.2617  6 O 2.13-2.27
19 Tl 0.6890 0.5955 0.7905  4 O 2.24-2.27
20 O 0.6430 0.4671 0.2821  1 Pa 2.22, 2 Tl 2.26-2.27

---

# 6
# PaTlCd2O8

A relaxed structure of PaTlCd2O8 (PBE, the Alexandria database).

- Theoretical density: 7.24 Mg/m³
- Total magnetization: 1.67 μB per cell
- E_form (uncorrected): -1.094 eV per atom
- Space-group type: No. 119

Lattice parameters (Å, degrees): 6.2188 6.2188 6.2188 114.91 114.91 99.07
Closest atoms and distances in Å follow each position.
Positions (direct):
1 Cd 0.7500 0.2500 0.5000  4 O 2.16
2 O 0.9030 0.7294 0.1736  1 Cd 2.19, 1 Tl 2.19, 1 O 2.32
3 O 0.9626 0.2679 0.3052  1 Pa 2.06, 1 Cd 2.16
4 O 0.2706 0.4443 0.1736  1 Cd 2.19, 1 Tl 2.19, 1 O 2.32
5 O 0.9626 0.6574 0.6948  1 Pa 2.06, 1 Cd 2.16
6 Cd 0.5000 0.5000 0.0000  4 O 2.19
7 Pa 0.0000 0.0000 0.0000  4 O 2.06
8 O 0.2706 0.0970 0.8264  1 Cd 2.19, 1 Tl 2.19, 1 O 2.32
9 O 0.7321 0.0374 0.6948  1 Pa 2.06, 1 Cd 2.16
10 O 0.3426 0.0374 0.3052  1 Pa 2.06, 1 Cd 2.16
11 Tl 0.2500 0.7500 0.5000  4 O 2.19
12 O 0.5557 0.7294 0.8264  1 Cd 2.19, 1 Tl 2.19, 1 O 2.32

---

# 7
# Pa3Tl4CdO12

A relaxed structure of Pa3Tl4CdO12 (PBE, the Alexandria database).

- Theoretical density: 8.87 Mg/m³
- Total magnetization: 0.00 μB per cell
- E_form (uncorrected): -2.092 eV per atom
- Space-group type: No. 229

Lattice parameters (Å, degrees): 7.6130 7.6130 7.6130 109.47 109.47 109.47
Closest atoms and distances in Å follow each position.
Positions (direct):
1 O 0.5000 0.2500 0.7500  2 Pa 2.20
2 O 0.7382 0.0000 0.7382  1 Pa 2.09, 1 Cd 2.30
3 Pa 0.0000 0.5000 0.5000  6 O 2.09-2.20
4 Pa 0.5000 0.5000 0.0000  6 O 2.09-2.20
5 Tl 0.0000 0.5000 0.0000  12 O 3.11
6 O 0.0000 0.7382 0.7382  1 Pa 2.09, 1 Cd 2.30
7 O 0.2618 0.2618 0.0000  1 Pa 2.09, 1 Cd 2.30
8 Pa 0.5000 0.0000 0.5000  6 O 2.09-2.20
9 O 0.2618 0.0000 0.2618  1 Pa 2.09, 1 Cd 2.30
10 O 0.7500 0.5000 0.2500  2 Pa 2.20
11 O 0.0000 0.2618 0.2618  1 Pa 2.09, 1 Cd 2.30
12 O 0.7500 0.2500 0.5000  2 Pa 2.20
13 O 0.2500 0.5000 0.7500  2 Pa 2.20
14 O 0.2500 0.7500 0.5000  2 Pa 2.20
15 O 0.5000 0.7500 0.2500  2 Pa 2.20
16 Tl 0.5000 0.5000 0.5000  12 O 3.11
17 O 0.7382 0.7382 0.0000  1 Pa 2.09, 1 Cd 2.30
18 Tl 0.5000 0.0000 0.0000  12 O 3.11
19 Cd 0.0000 0.0000 0.0000  6 O 2.30
20 Tl 0.0000 0.0000 0.5000  12 O 3.11

---

# 8
# PaTlCdO4

A relaxed structure of PaTlCdO4 (PBE, the Alexandria database).

- Theoretical density: 7.71 Mg/m³
- Total magnetization: 0.00 μB per cell
- E_form (uncorrected): -2.166 eV per atom
- Space-group type: No. 74

Lattice parameters (Å, degrees): 6.9901 7.2660 7.1582 119.51 90.00 118.75
Closest atoms and distances in Å follow each position.
Positions (direct):
1 Pa 0.5000 0.0000 0.5000  6 O 2.17-2.23
2 O 0.2965 0.5930 0.7507  1 Pa 2.17, 2 Cd 2.33
3 O 0.3062 0.9913 0.2456  2 Pa 2.23
4 O 0.2965 0.5930 0.3422  1 Pa 2.17, 2 Cd 2.33
5 O 0.7035 0.4071 0.2493  1 Pa 2.17, 2 Cd 2.33
6 O 0.6850 0.9913 0.2456  2 Pa 2.23
7 O 0.3150 0.0087 0.7544  2 Pa 2.23
8 Tl 0.1501 0.3001 0.9001  4 O 2.62-2.66
9 Pa 0.5000 0.0000 0.0000  6 O 2.17-2.23
10 Cd 0.0000 0.5000 0.5000  4 O 2.33
11 Cd 0.5000 0.5000 0.5000  4 O 2.33
12 O 0.7035 0.4071 0.6578  1 Pa 2.17, 2 Cd 2.33
13 O 0.6938 0.0087 0.7544  2 Pa 2.23
14 Tl 0.8499 0.6999 0.0999  4 O 2.62-2.66

---

Among the records above, which one has the lowest theoretical density? PaTlCd2O8

---

Among the records above, which one has the lowest theoretical density? PaTlCd2O8

---

Which formula does entry 8 have? PaTlCdO4